First-principles (PBE-GGA) data for a geometry-optimized Al2TePt2 structure, as listed in Alexandria via LeMat-Bulk.

Results
The calculation puts the formation energy from raw total energies at -677 meV per atom.

Cell lengths 3.9485, 3.9485, 11.9023 Å; angles 90.00, 90.00, 90.00 degrees
Space group I4/mmm (No. 139)
One atom of each set of equivalent atoms:
Al 0.0000 0.5000 0.2500 [4 per cell]
Te 0.0000 0.0000 0.0000 [2 per cell]
Pt 0.0000 0.0000 0.3785 [4 per cell]